VASP calculation (GGA+U) on BaOs2WO8 after structural relaxation.

Cell: 5.6846 5.6846 7.5182 Å, 90.00 90.00 120.00°
Each line ends with the local moment (μB).
Positions (direct):
W 0.0000 0.0000 0.5000  2.19
O 0.3149 0.2320 0.3230  -0.10
O 0.6851 0.7680 0.6770  -0.10
Os 0.3333 0.6667 0.7443  -0.66
O 0.6667 0.3333 0.0147  -0.11
Os 0.6667 0.3333 0.2557  -0.66
O 0.2320 0.9171 0.6770  -0.10
O 0.9171 0.6851 0.3230  -0.10
O 0.0829 0.3149 0.6770  -0.10
O 0.3333 0.6667 0.9853  -0.11
O 0.7680 0.0829 0.3230  -0.10
Ba 0.0000 0.0000 0.0000  -0.01

Results
calculated total energy	-7.2068	eV per atom
total magnetization	0.000	μB/atom
mass density	6.55	g/cm3
N(E_F)	6.107	states/eV/f.u.